VASP calculation (GGA+U) on crystalline GaNiIO2 at its relaxed geometry.

The size of the total moment is 0.181 μB/atom. Its energy above the most stable polymorph in this dataset is 0 meV per atom. The calculation puts the density of states at the Fermi level at 3.806 states/eV per cell. The theoretical density comes out at 5.0 g/cm³.

It has space group P4/mmm (No. 123), with a = 3.7430 Å, b = 3.7430 Å, c = 6.7594 Å, α = 90.00°, β = 90.00° and γ = 90.00°. Symmetry generates all atoms from Ga at (0.0000, 0.0000, 0.0000), Ni at (0.5000, 0.5000, 0.5000), I at (0.0000, 0.0000, 0.5000) and O at (0.0000, 0.5000, 0.0000).